Model A:
Below is LiAl2Ag2 after structural relaxation, with properties calculated at the GGA-PBE level.

Properties
Total magnetization in μB per formula unit: 0.00

Unit cell a=3.909 b=3.909 c=6.930 alpha=73.62 beta=73.62 gamma=90.00
Atoms (fractional coordinates):
Al (0.750, 0.250, 0.500)
Al (0.250, 0.750, 0.500)
Ag (0.607, 0.607, 0.786)
Ag (0.393, 0.393, 0.214)
Li (0.000, 0.000, 0.000)


Model B:
Below is LiAl2Ag2 after structural relaxation, with properties calculated at the GGA-PBE level.

Properties
Total magnetization in μB per formula unit: 0.00

Unit cell a=4.762 b=4.762 c=8.461 alpha=104.43 beta=99.48 gamma=105.34
Atoms (fractional coordinates):
Ag (0.734, 0.353, 0.043)
Ag (0.691, 0.809, 0.543)
Al (0.761, 0.787, 0.866)
Al (0.921, 0.395, 0.634)
Al (0.239, 0.213, 0.134)
Ag (0.309, 0.191, 0.457)
Li (0.698, 0.948, 0.250)
Al (0.079, 0.605, 0.366)
Li (0.302, 0.052, 0.750)
Ag (0.266, 0.647, 0.957)


Energies relative to the most stable structure are model A 122; model B 0, reported in meV/atom.


Model A:
Below is LiAl2Ag2 after structural relaxation, with properties calculated at the GGA-PBE level.

Properties
Total magnetization in μB per formula unit: 0.00

Unit cell a=2.911 b=4.618 c=12.722 alpha=90.00 beta=90.00 gamma=90.00
Atoms (fractional coordinates):
Ag (0.750, 0.750, 0.046)
Al (0.750, 0.750, 0.463)
Ag (0.750, 0.250, 0.350)
Al (0.750, 0.250, 0.148)
Li (0.250, 0.750, 0.253)
Li (0.750, 0.250, 0.747)
Ag (0.250, 0.750, 0.650)
Al (0.250, 0.250, 0.537)
Ag (0.250, 0.250, 0.954)
Al (0.250, 0.750, 0.852)


Model B:
Below is LiAl2Ag2 after structural relaxation, with properties calculated at the GGA-PBE level.

Properties
Total magnetization in μB per formula unit: 0.00

Unit cell a=4.015 b=4.015 c=6.708 alpha=72.58 beta=72.58 gamma=90.00
Atoms (fractional coordinates):
Al (0.396, 0.396, 0.207)
Li (0.000, 0.000, 0.000)
Al (0.604, 0.604, 0.793)
Ag (0.250, 0.750, 0.500)
Ag (0.750, 0.250, 0.500)


Model C:
Below is LiAl2Ag2 after structural relaxation, with properties calculated at the GGA-PBE level.

Properties
Total magnetization in μB per formula unit: 0.00

Unit cell a=7.773 b=7.773 c=2.895 alpha=90.00 beta=90.00 gamma=90.00
Atoms (fractional coordinates):
Al (0.878, 0.622, 0.000)
Li (0.500, 0.500, 0.000)
Al (0.378, 0.878, 0.000)
Al (0.122, 0.378, 0.000)
Al (0.622, 0.122, 0.000)
Ag (0.178, 0.678, 0.500)
Ag (0.678, 0.822, 0.500)
Li (0.000, 0.000, 0.000)
Ag (0.822, 0.322, 0.500)
Ag (0.322, 0.178, 0.500)


Energies relative to the most stable structure are model A 16; model B 184; model C 0, reported in meV/atom.


Model A:
Below is Li5AlAg after structural relaxation, with properties calculated at the GGA-PBE level.

Properties
Total magnetization in μB per formula unit: 0.00

Unit cell a=4.170 b=4.170 c=7.488 alpha=90.00 beta=90.00 gamma=90.00
Atoms (fractional coordinates):
Ag (0.000, 0.000, 0.000)
Al (0.500, 0.500, 0.500)
Li (0.000, 0.500, 0.770)
Li (0.000, 0.000, 0.500)
Li (0.500, 0.000, 0.770)
Li (0.000, 0.500, 0.230)
Li (0.500, 0.000, 0.230)


Model B:
Below is Li5AlAg after structural relaxation, with properties calculated at the GGA-PBE level.

Properties
Total magnetization in μB per formula unit: 0.00

Unit cell a=5.036 b=5.036 c=10.230 alpha=103.70 beta=103.70 gamma=102.25
Atoms (fractional coordinates):
Al (0.000, 0.000, 0.500)
Li (0.902, 0.098, 0.250)
Ag (0.462, 0.538, 0.750)
Al (0.000, 0.000, 0.000)
Li (0.770, 0.469, 0.540)
Li (0.568, 0.012, 0.648)
Li (0.469, 0.770, 0.040)
Ag (0.538, 0.462, 0.250)
Li (0.098, 0.902, 0.750)
Li (0.988, 0.432, 0.852)
Li (0.012, 0.568, 0.148)
Li (0.432, 0.988, 0.352)
Li (0.531, 0.230, 0.960)
Li (0.230, 0.531, 0.460)


Energies relative to the most stable structure are model A 29; model B 0, reported in meV/atom.


Model A:
Below is Li6Al2Ag after structural relaxation, with properties calculated at the GGA-PBE level.

Properties
Total magnetization in μB per formula unit: 0.00

Unit cell a=4.626 b=7.164 c=7.164 alpha=42.85 beta=71.17 gamma=71.17
Atoms (fractional coordinates):
Ag (0.000, 0.000, 0.000)
Al (0.889, 0.610, 0.610)
Li (0.219, 0.782, 0.782)
Li (0.601, 0.663, 0.136)
Li (0.601, 0.136, 0.663)
Al (0.111, 0.390, 0.390)
Li (0.781, 0.218, 0.218)
Li (0.399, 0.864, 0.337)
Li (0.399, 0.337, 0.864)


Model B:
Below is Li6Al2Ag after structural relaxation, with properties calculated at the GGA-PBE level.

Properties
Total magnetization in μB per formula unit: 0.00

Unit cell a=5.275 b=5.277 c=5.277 alpha=96.52 beta=96.50 gamma=96.50
Atoms (fractional coordinates):
Li (0.500, 0.168, 0.832)
Al (0.667, 0.667, 0.667)
Al (0.333, 0.333, 0.333)
Li (0.168, 0.500, 0.832)
Li (0.832, 0.500, 0.168)
Li (0.832, 0.168, 0.500)
Li (0.500, 0.832, 0.168)
Li (0.168, 0.832, 0.500)
Ag (0.000, 0.000, 0.000)


Energies relative to the most stable structure are model A 112; model B 0, reported in meV/atom.


Model A:
Below is Li2AlAg5 after structural relaxation, with properties calculated at the GGA-PBE level.

Properties
Total magnetization in μB per formula unit: 0.00

Unit cell a=4.292 b=5.570 c=11.065 alpha=90.00 beta=90.00 gamma=90.00
Atoms (fractional coordinates):
Ag (0.000, 0.000, 0.000)
Ag (0.000, 0.076, 0.258)
Ag (0.500, 0.806, 0.388)
Al (0.000, 0.000, 0.500)
Ag (0.000, 0.576, 0.242)
Ag (0.500, 0.194, 0.612)
Li (0.500, 0.690, 0.634)
Ag (0.000, 0.924, 0.742)
Al (0.000, 0.500, 0.000)
Li (0.500, 0.190, 0.866)
Li (0.500, 0.310, 0.366)
Ag (0.500, 0.306, 0.112)
Li (0.500, 0.810, 0.134)
Ag (0.000, 0.500, 0.500)
Ag (0.500, 0.694, 0.888)
Ag (0.000, 0.424, 0.758)


Model B:
Below is Li2AlAg5 after structural relaxation, with properties calculated at the GGA-PBE level.

Properties
Total magnetization in μB per formula unit: 0.00

Unit cell a=4.513 b=5.240 c=13.137 alpha=90.00 beta=90.00 gamma=115.51
Atoms (fractional coordinates):
Ag (0.442, 0.884, 0.750)
Ag (0.913, 0.827, 0.912)
Ag (0.913, 0.827, 0.588)
Al (0.750, 0.501, 0.750)
Ag (0.608, 0.216, 0.570)
Ag (0.558, 0.116, 0.250)
Ag (0.608, 0.216, 0.930)
Li (0.232, 0.464, 0.612)
Li (0.232, 0.464, 0.888)
Ag (0.087, 0.173, 0.088)
Ag (0.392, 0.784, 0.070)
Ag (0.087, 0.173, 0.412)
Li (0.768, 0.536, 0.388)
Ag (0.392, 0.784, 0.430)
Al (0.250, 0.499, 0.250)
Li (0.768, 0.536, 0.112)


Energies relative to the most stable structure are model A 0; model B 71, reported in meV/atom.


Model A:
Below is Li8Al2Ag after structural relaxation, with properties calculated at the GGA-PBE level.

Properties
Total magnetization in μB per formula unit: 0.00

Unit cell a=5.180 b=7.539 c=7.539 alpha=39.67 beta=80.69 gamma=80.69
Atoms (fractional coordinates):
Ag (0.000, 0.000, 0.000)
Li (0.461, 0.107, 0.107)
Li (0.937, 0.425, 0.909)
Al (0.438, 0.700, 0.700)
Li (0.539, 0.893, 0.893)
Li (0.063, 0.575, 0.091)
Li (0.937, 0.909, 0.425)
Li (0.259, 0.502, 0.502)
Li (0.741, 0.498, 0.498)
Al (0.562, 0.300, 0.300)
Li (0.063, 0.091, 0.575)


Model B:
Below is Li8Al2Ag after structural relaxation, with properties calculated at the GGA-PBE level.

Properties
Total magnetization in μB per formula unit: 0.00

Unit cell a=4.780 b=5.865 c=7.687 alpha=111.41 beta=106.90 gamma=93.05
Atoms (fractional coordinates):
Li (0.289, 0.583, 0.000)
Ag (0.500, 0.000, 0.000)
Li (0.166, 0.353, 0.250)
Al (0.690, 0.690, 0.379)
Li (0.834, 0.647, 0.750)
Al (0.310, 0.310, 0.621)
Li (0.702, 0.202, 0.403)
Li (0.711, 0.417, 0.000)
Li (0.298, 0.798, 0.597)
Li (0.916, 0.103, 0.750)
Li (0.084, 0.897, 0.250)


Energies relative to the most stable structure are model A 0; model B 74, reported in meV/atom.


Model A:
Below is Li2Al6Ag after structural relaxation, with properties calculated at the GGA-PBE level.

Properties
Total magnetization in μB per formula unit: 0.00

Unit cell a=4.631 b=7.691 c=6.206 alpha=128.29 beta=111.92 gamma=90.00
Atoms (fractional coordinates):
Li (0.668, 0.668, 0.336)
Al (0.500, 0.186, 0.000)
Al (0.167, 0.853, 0.335)
Li (0.332, 0.332, 0.664)
Al (0.833, 0.518, 0.665)
Al (0.833, 0.147, 0.665)
Al (0.167, 0.482, 0.335)
Al (0.500, 0.814, 0.000)
Ag (0.000, 0.000, 0.000)


Model B:
Below is Li2Al6Ag after structural relaxation, with properties calculated at the GGA-PBE level.

Properties
Total magnetization in μB per formula unit: 0.00

Unit cell a=3.997 b=8.588 c=8.589 alpha=90.00 beta=90.00 gamma=90.00
Atoms (fractional coordinates):
Al (0.000, 0.333, 0.496)
Al (0.500, 0.833, 0.333)
Al (0.000, 0.996, 0.833)
Li (0.000, 0.664, 0.164)
Al (0.500, 0.496, 0.667)
Li (0.500, 0.164, 0.336)
Al (0.000, 0.667, 0.504)
Al (0.500, 0.167, 0.667)
Ag (0.000, 0.000, 0.500)
Al (0.000, 0.667, 0.833)
Li (0.000, 0.336, 0.836)
Al (0.500, 0.167, 0.996)
Li (0.500, 0.836, 0.664)
Ag (0.500, 0.500, 0.000)
Al (0.000, 0.333, 0.167)
Al (0.500, 0.833, 0.004)
Al (0.000, 0.004, 0.167)
Al (0.500, 0.504, 0.333)


Energies relative to the most stable structure are model A 76; model B 0, reported in meV/atom.


Model A:
Below is Li3AlAg after structural relaxation, with properties calculated at the GGA-PBE level.

Properties
Total magnetization in μB per formula unit: 0.00

Unit cell a=4.835 b=5.180 c=7.081 alpha=90.00 beta=97.84 gamma=90.00
Atoms (fractional coordinates):
Li (0.845, 0.991, 0.815)
Li (0.244, 0.750, 0.528)
Li (0.756, 0.250, 0.472)
Al (0.683, 0.750, 0.251)
Ag (0.628, 0.250, 0.098)
Al (0.317, 0.250, 0.749)
Ag (0.372, 0.750, 0.902)
Li (0.845, 0.509, 0.815)
Li (0.155, 0.491, 0.185)
Li (0.155, 0.009, 0.185)


Model B:
Below is Li3AlAg after structural relaxation, with properties calculated at the GGA-PBE level.

Properties
Total magnetization in μB per formula unit: 0.00

Unit cell a=4.476 b=5.321 c=7.026 alpha=78.47 beta=90.00 gamma=90.00
Atoms (fractional coordinates):
Li (0.624, 0.989, 0.166)
Li (0.124, 0.501, 0.672)
Al (0.124, 0.685, 0.272)
Ag (0.124, 0.888, 0.892)
Li (0.124, 0.289, 0.076)
Li (0.624, 0.810, 0.572)
Li (0.124, 0.109, 0.481)
Al (0.624, 0.414, 0.375)
Li (0.624, 0.598, 0.975)
Ag (0.624, 0.211, 0.756)


Model C:
Below is Li3AlAg after structural relaxation, with properties calculated at the GGA-PBE level.

Properties
Total magnetization in μB per formula unit: 0.00

Unit cell a=4.780 b=4.780 c=4.780 alpha=90.00 beta=90.00 gamma=90.00
Atoms (fractional coordinates):
Li (0.500, 0.000, 0.000)
Al (0.500, 0.500, 0.500)
Li (0.000, 0.000, 0.500)
Li (0.000, 0.500, 0.000)
Ag (0.000, 0.000, 0.000)


Model D:
Below is Li3AlAg after structural relaxation, with properties calculated at the GGA-PBE level.

Properties
Total magnetization in μB per formula unit: 0.00

Unit cell a=4.874 b=4.874 c=4.874 alpha=90.00 beta=90.00 gamma=90.00
Atoms (fractional coordinates):
Al (0.000, 0.000, 0.000)
Ag (0.500, 0.500, 0.500)
Li (0.000, 0.500, 0.000)
Li (0.500, 0.000, 0.000)
Li (0.000, 0.000, 0.500)


Energies relative to the most stable structure are model A 99; model B 0; model C 443; model D 637, reported in meV/atom.


Model A:
Below is Li6AlAg2 after structural relaxation, with properties calculated at the GGA-PBE level.

Properties
Total magnetization in μB per formula unit: 0.00

Unit cell a=4.588 b=4.588 c=9.469 alpha=75.98 beta=75.98 gamma=60.00
Atoms (fractional coordinates):
Li (0.594, 0.594, 0.218)
Li (0.699, 0.699, 0.902)
Ag (0.906, 0.906, 0.281)
Li (0.301, 0.301, 0.098)
Li (0.406, 0.406, 0.782)
Ag (0.094, 0.094, 0.719)
Li (0.194, 0.194, 0.417)
Li (0.806, 0.806, 0.583)
Al (0.000, 0.000, 0.000)


Model B:
Below is Li6AlAg2 after structural relaxation, with properties calculated at the GGA-PBE level.

Properties
Total magnetization in μB per formula unit: 0.00

Unit cell a=7.769 b=7.769 c=2.796 alpha=90.00 beta=90.00 gamma=120.00
Atoms (fractional coordinates):
Li (0.000, 0.332, 0.500)
Ag (0.333, 0.667, 0.000)
Li (0.668, 0.668, 0.500)
Ag (0.667, 0.333, 0.000)
Li (0.000, 0.668, 0.500)
Li (0.668, 0.000, 0.500)
Al (0.000, 0.000, 0.000)
Li (0.332, 0.332, 0.500)
Li (0.332, 0.000, 0.500)


Energies relative to the most stable structure are model A 53; model B 0, reported in meV/atom.


Model A:
Below is LiAlAg6 after structural relaxation, with properties calculated at the GGA-PBE level.

Properties
Total magnetization in μB per formula unit: 0.00

Unit cell a=5.470 b=5.470 c=5.470 alpha=87.86 beta=87.86 gamma=87.86
Atoms (fractional coordinates):
Li (0.000, 0.000, 0.000)
Ag (0.455, 0.831, 0.831)
Al (0.500, 0.500, 0.500)
Ag (0.831, 0.455, 0.831)
Ag (0.545, 0.169, 0.169)
Ag (0.831, 0.831, 0.455)
Ag (0.169, 0.169, 0.545)
Ag (0.169, 0.545, 0.169)


Model B:
Below is LiAlAg6 after structural relaxation, with properties calculated at the GGA-PBE level.

Properties
Total magnetization in μB per formula unit: 0.00

Unit cell a=4.176 b=5.718 c=5.718 alpha=90.05 beta=90.00 gamma=90.00
Atoms (fractional coordinates):
Ag (0.000, 0.250, 0.250)
Ag (0.500, 0.000, 0.500)
Li (0.500, 0.500, 0.500)
Ag (0.500, 0.500, 0.000)
Ag (0.000, 0.250, 0.750)
Al (0.500, 0.000, 0.000)
Ag (0.000, 0.750, 0.750)
Ag (0.000, 0.750, 0.250)


Energies relative to the most stable structure are model A 290; model B 0, reported in meV/atom.